[1]
Entry from Alexandria via LeMat-Bulk: a relaxed Ho7Al5Tl crystal (PBE).

Cell and atoms, written as extended XYZ:
```
13
Lattice="-3.119 4.992 5.274 3.119 -4.992 5.274 3.119 4.992 -5.274" Properties=species:S:1:pos:R:3 pbc="T T T"
Ho 0.000 0.000 0.000
Ho 3.119 -1.790 2.611
Ho 0.000 0.000 3.769
Ho 3.119 1.790 2.611
Ho 0.000 4.992 0.108
Ho 0.000 3.240 2.687
Ho 0.000 6.743 2.687
Al 3.119 0.000 0.020
Al 1.712 2.516 -0.048
Al 4.526 2.516 -0.048
Al -1.407 2.476 5.226
Al 1.407 2.476 5.226
Tl 0.000 0.000 7.276
```

formation enthalpy at 0 K	-5.02	kcal/mol of atoms

[2]
Entry from Alexandria via LeMat-Bulk: a relaxed TePtI2O crystal (PBE).

Cell and atoms, written as extended XYZ:
```
5
Lattice="5.506 0.000 0.000 0.000 5.506 0.000 0.000 0.000 5.165" Properties=species:S:1:pos:R:3 pbc="T T T"
Te 0.000 0.000 0.000
Pt 0.000 0.000 2.583
I 0.000 2.753 2.583
I 2.753 0.000 2.583
O 2.753 2.753 0.000
```

energy above the most stable polymorph in this dataset	3.44	eV per formula unit
formation energy from raw total energies	0.87	eV per atom

[3]
Entry from Alexandria via LeMat-Bulk: a relaxed Ce2Dy4Sn3O2 crystal (PBE).

Cell and atoms, written as extended XYZ:
```
11
Lattice="-2.340 2.340 12.706 2.340 -2.340 12.706 2.340 2.340 -12.706" Properties=species:S:1:pos:R:3 pbc="T T T"
Ce 0.000 0.000 4.959
Ce 0.000 0.000 20.452
Dy 2.340 0.000 2.085
Dy 2.340 0.000 10.620
Dy 0.000 2.340 2.085
Dy 0.000 2.340 10.620
Sn 0.000 0.000 8.296
Sn 0.000 0.000 12.706
Sn 0.000 0.000 17.115
O 0.000 0.000 2.421
O 0.000 0.000 22.990
```

formation energy from raw total energies	-1.48	eV per atom